Record 1
{
  "formula": "GdErSi2Au2",
  "functional": "PBE-GGA",
  "state": "relaxed",
  "spacegroup": "P3m1",
  "lattice": [[-2.1835, -3.6232, -0.9016], [2.1096, 0.3754, 3.7573], [-6.2552, 2.9695, 3.2155]],
  "species": ["Au", "Au", "Gd", "Si", "Si", "Er"],
  "frac_coords": [[0.3333, 0.6667, 0.7577], [0.6667, 0.3333, 0.2753], [0.0000, 0.0000, 0.0008], [0.6667, 0.3333, 0.7208], [0.3333, 0.6667, 0.2279], [0.0000, 0.0000, 0.4995]]
}

=====

Record 2
{
  "formula": "SmZnSnTe3",
  "functional": "PBE-GGA",
  "state": "relaxed",
  "spacegroup": "Cmcm",
  "lattice": [[6.4330, 3.8506, 1.3764], [-6.9227, -1.9528, 2.5235], [4.4356, -9.2120, 5.0398]],
  "species": ["Zn", "Zn", "Te", "Te", "Te", "Te", "Te", "Te", "Sn", "Sn", "Sm", "Sm"],
  "frac_coords": [[0.9757, 0.0243, 0.2500], [0.0243, 0.9757, 0.7500], [0.5936, 0.4064, 0.2500], [0.1473, 0.8527, 0.9380], [0.8527, 0.1473, 0.0620], [0.1473, 0.8527, 0.5620], [0.8527, 0.1473, 0.4380], [0.4064, 0.5936, 0.7500], [0.7085, 0.2915, 0.7500], [0.2915, 0.7085, 0.2500], [0.5000, 0.5000, 0.5000], [0.5000, 0.5000, 0.0000]]
}

=====

Electronic total energy in eV per atom, matching the order above: -5.25, -3.88